Na4ZnIn2Hg PBE-GGA optimized geometry; calculated volume = 23.85 Å³ per atom; uncorrected energy = -13.21 eV/cell; space-group type = No. 115
1.0
-1.992 2.352 -4.093
-4.470 -2.368 0.815
-2.152 5.512 4.216
Na Zn Hg In
4 1 1 2
Cartesian
-1.541 2.571 -0.980
-1.076 2.756 2.108
-3.843 2.934 3.557
-3.231 -0.008 -1.639
-4.307 2.748 0.469
0.000 0.000 0.000
-2.800 0.261 1.513
-2.584 5.243 1.063

Gd3Mg3GaPd2 PBE-GGA optimized geometry; calculated volume = 22.43 Å³ per atom; uncorrected energy = -37.22 eV/cell; space-group type = No. 189; total magnetic moment = 0.0 μB per formula unit
1.0
7.415 0.000 0.000
-3.708 6.422 0.000
0.000 0.000 4.239
Gd Ga Pd Mg
3 1 2 3
Cartesian
2.156 3.734 0.000
-1.552 2.688 0.000
3.104 0.000 0.000
0.000 0.000 0.000
0.000 4.281 2.120
3.708 2.141 2.120
5.598 0.000 2.120
-2.799 4.848 2.120
0.909 1.574 2.120

Y2SiGePd PBE-GGA optimized geometry; calculated volume = 20.53 Å³ per atom; uncorrected energy = -65.94 eV/cell; space-group type = No. 12; total magnetic moment = 0.4 μB per formula unit
1.0
5.323 -2.132 0.000
5.323 2.132 0.000
-4.853 0.000 9.043
Pd Ge Y Si
2 2 4 2
Cartesian
5.957 0.000 3.359
-0.164 0.000 5.684
4.491 0.000 1.060
1.302 0.000 7.984
4.364 0.000 8.044
-1.576 0.000 2.951
7.369 0.000 6.092
1.429 0.000 0.999
3.978 0.000 5.122
1.814 0.000 3.921

What is the calculated volume in the second record?
22.43 Å³ per atom